## CaPmNiBi (PBE-GGA)

Data for a geometry-optimized CaPmNiBi structure.

Output
Density   7.3 Mg/m³
Formation enthalpy at 0 K   -0.354 eV per atom
DOS at the Fermi energy   1.5 states/eV per cell
Volume   25.89 Å³/atom
Total magnetization   0.0 μB/f.u.

Cell: 5.271 5.271 5.271 Å, 60.00 60.00 60.00°
Fractional coordinates of all 4 atoms:
Ca: 0.000 0.000 0.000
Pm: 0.500 0.500 0.500
Ni: 0.750 0.750 0.750
Bi: 0.250 0.250 0.250

---

## SrCa2NiBi (PBE-GGA)

Data for a geometry-optimized SrCa2NiBi structure.

Output
Density   4.5 Mg/m³
Formation enthalpy at 0 K   -0.312 eV per atom
DOS at the Fermi energy   3.9 states/eV per cell
Volume   32.04 Å³/atom
Total magnetization   0.0 μB/f.u.

Cell: 5.364 5.364 5.568 Å, 90.00 90.00 90.00°
Fractional coordinates of all 5 atoms:
Sr: 0.000 0.000 0.000
Ca: 0.000 0.500 0.500
Ca: 0.500 0.000 0.500
Ni: 0.000 0.000 0.500
Bi: 0.500 0.500 0.000

---

## Ca2TaNiBi (PBE-GGA)

Data for a geometry-optimized Ca2TaNiBi structure.

Output
Density   4.8 Mg/m³
Formation enthalpy at 0 K   1.211 eV per atom
DOS at the Fermi energy   4.2 states/eV per cell
Volume   36.94 Å³/atom
Total magnetization   2.4 μB/f.u.

Cell: 5.897 5.897 5.312 Å, 90.00 90.00 90.00°
Fractional coordinates of all 5 atoms:
Ca: 0.000 0.500 0.000
Ca: 0.500 0.000 0.000
Ta: 0.000 0.000 0.500
Ni: 0.500 0.500 0.500
Bi: 0.000 0.000 0.000

---

## CaZnNi2Bi (PBE-GGA)

Data for a geometry-optimized CaZnNi2Bi structure.

Output
Density   5.6 Mg/m³
Formation enthalpy at 0 K   1.253 eV per atom
DOS at the Fermi energy   4.3 states/eV per cell
Volume   25.39 Å³/atom
Total magnetization   0.0 μB/f.u.

Cell: 4.655 4.655 5.860 Å, 90.00 90.00 90.00°
Fractional coordinates of all 5 atoms:
Ca: 0.000 0.000 0.000
Zn: 0.500 0.500 0.500
Ni: 0.000 0.500 0.000
Ni: 0.500 0.000 0.000
Bi: 0.000 0.000 0.500

---

## CaNpBi2 (PBE-GGA)

Data for a geometry-optimized CaNpBi2 structure.

Output
Density   8.6 Mg/m³
Formation enthalpy at 0 K   -0.301 eV per atom
Energy above the lowest structure with this stoichiometry   0.0 meV/atom
DOS at the Fermi energy   8.8 states/eV per cell
Volume   33.68 Å³/atom
Total magnetization   3.2 μB/f.u.

Cell: 7.899 7.899 7.899 Å, 33.63 33.63 33.63°
Fractional coordinates of all 4 atoms:
Ca: 0.000 0.000 0.000
Np: 0.500 0.500 0.500
Bi: 0.246 0.246 0.246
Bi: 0.754 0.754 0.754

---

## CaNpBi2 (PBE-GGA)

Data for a geometry-optimized CaNpBi2 structure.

Output
Density   9.7 Mg/m³
Formation enthalpy at 0 K   -0.275 eV per atom
Energy above the lowest structure with this stoichiometry   25.4 meV/atom
DOS at the Fermi energy   9.8 states/eV per cell
Volume   29.68 Å³/atom
Total magnetization   4.7 μB/f.u.

Cell: 3.702 3.702 8.666 Å, 90.00 90.00 90.00°
Fractional coordinates of all 4 atoms:
Ca: 0.000 0.000 0.000
Np: 0.000 0.000 0.500
Bi: 0.500 0.500 0.252
Bi: 0.500 0.500 0.748

---

## CaNpBi2 (PBE-GGA)

Data for a geometry-optimized CaNpBi2 structure.

Output
Density   9.7 Mg/m³
Formation enthalpy at 0 K   -0.277 eV per atom
Energy above the lowest structure with this stoichiometry   23.7 meV/atom
DOS at the Fermi energy   11.9 states/eV per cell
Volume   29.90 Å³/atom
Total magnetization   4.4 μB/f.u.

Cell: 5.908 5.908 3.427 Å, 90.00 90.00 90.00°
Fractional coordinates of all 4 atoms:
Ca: 0.000 0.000 0.000
Np: 0.500 0.500 0.000
Bi: 0.000 0.500 0.500
Bi: 0.500 0.000 0.500

---

## CaNpBi2 (PBE-GGA)

Data for a geometry-optimized CaNpBi2 structure.

Output
Density   8.6 Mg/m³
Formation enthalpy at 0 K   -0.206 eV per atom
Energy above the lowest structure with this stoichiometry   94.9 meV/atom
DOS at the Fermi energy   9.4 states/eV per cell
Volume   33.66 Å³/atom
Total magnetization   3.3 μB/f.u.

Cell: 8.527 8.527 8.527 Å, 29.68 29.68 29.68°
Fractional coordinates of all 4 atoms:
Ca: 0.000 0.000 0.000
Np: 0.170 0.170 0.170
Bi: 0.421 0.421 0.421
Bi: 0.584 0.584 0.584

---

## CaNpBi2O8 (PBE-GGA)

Data for a geometry-optimized CaNpBi2O8 structure.

Output
Density   7.2 Mg/m³
DOS at the Fermi energy   2.3 states/eV per cell
E_tot   -86.24 eV/cell
Volume   15.91 Å³/atom
Total magnetization   0.0 μB/f.u.

Cell: 5.195 5.195 7.074 Å, 90.00 90.00 90.51°
Fractional coordinates of all 12 atoms:
Ca: 0.000 0.000 0.000
Np: 0.000 0.000 0.500
Bi: 0.500 0.500 0.241
Bi: 0.500 0.500 0.759
O: 0.183 0.183 0.284
O: 0.183 0.183 0.716
O: 0.276 0.724 0.500
O: 0.313 0.687 0.000
O: 0.687 0.313 0.000
O: 0.724 0.276 0.500
O: 0.817 0.817 0.284
O: 0.817 0.817 0.716

---

## Ca2NpBiO8 (PBE-GGA)

Data for a geometry-optimized Ca2NpBiO8 structure.

Output
Density   6.0 Mg/m³
E_tot   -86.96 eV/cell
Volume   15.14 Å³/atom
Total magnetization   0.0 μB/f.u.

Cell: 5.124 5.124 6.928 Å, 90.00 90.00 93.33°
Fractional coordinates of all 12 atoms:
Ca: 0.000 0.000 0.248
Ca: 0.000 0.000 0.752
Np: 0.500 0.500 0.500
Bi: 0.500 0.500 0.000
O: 0.213 0.213 0.000
O: 0.226 0.226 0.500
O: 0.320 0.680 0.264
O: 0.320 0.680 0.736
O: 0.680 0.320 0.264
O: 0.680 0.320 0.736
O: 0.774 0.774 0.500
O: 0.787 0.787 0.000

---

## CaNpBi2O6 (PBE-GGA)

Data for a geometry-optimized CaNpBi2O6 structure.

Output
Density   8.4 Mg/m³
DOS at the Fermi energy   20.3 states/eV per cell
E_tot   -146.70 eV/cell
Volume   15.68 Å³/atom
Total magnetization   3.0 μB/f.u.

Cell: 5.853 6.281 10.299 Å, 90.00 124.09 90.00°
Fractional coordinates of all 20 atoms:
Ca: 0.000 0.000 0.000
Ca: 0.000 0.500 0.500
Np: 0.500 0.000 0.500
Np: 0.500 0.500 0.000
Bi: 0.236 0.034 0.747
Bi: 0.236 0.466 0.247
Bi: 0.764 0.534 0.753
Bi: 0.764 0.966 0.253
O: 0.114 0.169 0.437
O: 0.114 0.331 0.937
O: 0.271 0.692 0.426
O: 0.271 0.808 0.926
O: 0.407 0.061 0.258
O: 0.407 0.439 0.758
O: 0.593 0.561 0.242
O: 0.593 0.939 0.742
O: 0.729 0.192 0.074
O: 0.729 0.308 0.574
O: 0.886 0.669 0.063
O: 0.886 0.831 0.563

---

## Ca2NpBiO6 (PBE-GGA)

Data for a geometry-optimized Ca2NpBiO6 structure.

Output
Density   6.0 Mg/m³
DOS at the Fermi energy   4.3 states/eV per cell
E_tot   -73.89 eV/cell
Volume   17.20 Å³/atom
Total magnetization   2.0 μB/f.u.

Cell: 6.158 6.158 4.537 Å, 90.00 90.00 90.00°
Fractional coordinates of all 10 atoms:
Ca: 0.000 0.500 0.000
Ca: 0.500 0.000 0.000
Np: 0.000 0.000 0.681
Bi: 0.500 0.500 0.635
O: 0.000 0.000 0.194
O: 0.238 0.238 0.744
O: 0.238 0.762 0.744
O: 0.500 0.500 0.140
O: 0.762 0.238 0.744
O: 0.762 0.762 0.744

---

## CaNpBiO6 (PBE-GGA)

Data for a geometry-optimized CaNpBiO6 structure.

Output
Density   6.8 Mg/m³
E_tot   -138.83 eV/cell
Volume   15.87 Å³/atom
Total magnetization   0.0 μB/f.u.

Cell: 5.873 5.873 9.560 Å, 90.00 90.00 120.00°
Fractional coordinates of all 18 atoms:
Ca: 0.000 0.000 0.000
Ca: 0.000 0.000 0.500
Np: 0.333 0.667 0.250
Np: 0.667 0.333 0.750
Bi: 0.333 0.667 0.750
Bi: 0.667 0.333 0.250
O: 0.041 0.374 0.135
O: 0.041 0.667 0.365
O: 0.333 0.374 0.365
O: 0.333 0.959 0.135
O: 0.374 0.041 0.635
O: 0.374 0.333 0.865
O: 0.626 0.667 0.135
O: 0.626 0.959 0.365
O: 0.667 0.041 0.865
O: 0.667 0.626 0.635
O: 0.959 0.333 0.635
O: 0.959 0.626 0.865

---

## Ca2PuNpBi4 (PBE-GGA)

Data for a geometry-optimized Ca2PuNpBi4 structure.

Output
Density   8.6 Mg/m³
Formation enthalpy at 0 K   -0.395 eV per atom
DOS at the Fermi energy   26.6 states/eV per cell
Volume   33.84 Å³/atom
Total magnetization   7.8 μB/f.u.

Cell: 7.846 4.601 7.969 Å, 90.00 109.80 90.00°
Fractional coordinates of all 8 atoms:
Ca: 0.000 0.000 0.000
Ca: 0.000 0.500 0.500
Pu: 0.500 0.000 0.500
Np: 0.500 0.500 0.000
Bi: 0.264 0.000 0.757
Bi: 0.264 0.500 0.252
Bi: 0.736 0.000 0.243
Bi: 0.736 0.500 0.748

---

## Ca2ThNpBi4 (PBE-GGA)

Data for a geometry-optimized Ca2ThNpBi4 structure.

Output
Density   8.4 Mg/m³
Formation enthalpy at 0 K   -0.518 eV per atom
DOS at the Fermi energy   10.2 states/eV per cell
Volume   34.39 Å³/atom
Total magnetization   3.2 μB/f.u.

Cell: 7.940 4.613 7.971 Å, 90.00 109.60 90.00°
Fractional coordinates of all 8 atoms:
Ca: 0.000 0.000 0.000
Ca: 0.000 0.500 0.500
Th: 0.500 0.000 0.500
Np: 0.500 0.500 0.000
Bi: 0.256 0.500 0.248
Bi: 0.260 0.000 0.758
Bi: 0.740 0.000 0.242
Bi: 0.744 0.500 0.752

---

## Ca3BiO (PBE-GGA)

Data for a geometry-optimized Ca3BiO structure.

Output
Density   4.9 Mg/m³
Energy above the lowest structure with this stoichiometry   0.0 meV/atom
DOS at the Fermi energy   3.3 states/eV per cell
Volume   23.53 Å³/atom
Total magnetization   0.0 μB/f.u.

Cell: 4.900 4.900 4.900 Å, 90.00 90.00 90.00°
Fractional coordinates of all 5 atoms:
Ca: 0.000 0.000 0.500
Ca: 0.000 0.500 0.000
Ca: 0.500 0.000 0.000
Bi: 0.500 0.500 0.500
O: 0.000 0.000 0.000

---

## CaBi4O8 (PBE-GGA)

Data for a geometry-optimized CaBi4O8 structure.

Output
Density   7.6 Mg/m³
Energy above the lowest structure with this stoichiometry   32.0 meV/atom
DOS at the Fermi energy   0.3 states/eV per cell
Volume   16.87 Å³/atom
Total magnetization   0.0 μB/f.u.

Cell: 7.610 7.610 10.165 Å, 121.10 121.10 26.07°
Fractional coordinates of all 13 atoms:
Ca: 0.000 0.000 0.000
Bi: 0.223 0.223 0.001
Bi: 0.460 0.460 0.652
Bi: 0.733 0.733 0.631
Bi: 0.983 0.983 0.321
O: 0.056 0.056 0.792
O: 0.154 0.154 0.455
O: 0.386 0.386 0.783
O: 0.482 0.482 0.170
O: 0.531 0.531 0.520
O: 0.628 0.628 0.035
O: 0.750 0.750 0.873
O: 0.857 0.857 0.525

---

## CaBi4O8 (PBE-GGA)

Data for a geometry-optimized CaBi4O8 structure.

Output
Density   7.3 Mg/m³
Energy above the lowest structure with this stoichiometry   0.0 meV/atom
Volume   17.47 Å³/atom
Total magnetization   0.0 μB/f.u.

Cell: 7.236 7.236 10.434 Å, 115.84 115.84 27.73°
Fractional coordinates of all 13 atoms:
Ca: 0.000 0.000 0.000
Bi: 0.221 0.221 0.956
Bi: 0.488 0.488 0.657
Bi: 0.708 0.708 0.320
Bi: 0.979 0.979 0.305
O: 0.097 0.097 0.693
O: 0.150 0.150 0.411
O: 0.193 0.193 0.150
O: 0.454 0.454 0.434
O: 0.532 0.532 0.181
O: 0.546 0.546 0.885
O: 0.835 0.835 0.009
O: 0.882 0.882 0.623

---

## Ca3Bi2O (PBE-GGA)

Data for a geometry-optimized Ca3Bi2O structure.

Output
Density   5.6 Mg/m³
DOS at the Fermi energy   1.1 states/eV per cell
E_tot   -55.40 eV/cell
Volume   27.31 Å³/atom
Total magnetization   0.0 μB/f.u.

Cell: 12.465 12.465 7.086 Å, 90.00 90.00 162.68°
Fractional coordinates of all 12 atoms:
Ca: 0.094 0.906 0.506
Ca: 0.094 0.906 0.994
Ca: 0.299 0.701 0.250
Ca: 0.701 0.299 0.750
Ca: 0.906 0.094 0.006
Ca: 0.906 0.094 0.494
Bi: 0.318 0.682 0.750
Bi: 0.499 0.501 0.250
Bi: 0.501 0.499 0.750
Bi: 0.682 0.318 0.250
O: 0.149 0.851 0.750
O: 0.851 0.149 0.250

---

## CaBi2O4 (PBE-GGA)

Data for a geometry-optimized CaBi2O4 structure.

Output
Density   7.0 Mg/m³
DOS at the Fermi energy   0.0 states/eV per cell
E_tot   -82.60 eV/cell
Volume   17.72 Å³/atom
Total magnetization   0.0 μB/f.u.

Cell: 7.058 7.058 7.058 Å, 59.89 59.89 59.89°
Fractional coordinates of all 14 atoms:
Ca: 0.000 0.000 0.000
Ca: 0.376 0.376 0.376
Bi: 0.376 0.376 0.883
Bi: 0.376 0.883 0.376
Bi: 0.755 0.755 0.755
Bi: 0.883 0.376 0.376
O: 0.135 0.135 0.595
O: 0.135 0.595 0.135
O: 0.136 0.136 0.136
O: 0.148 0.617 0.617
O: 0.595 0.135 0.135
O: 0.617 0.148 0.617
O: 0.617 0.617 0.148
O: 0.624 0.624 0.624

---

## CaBi2O (PBE-GGA)

Data for a geometry-optimized CaBi2O structure.

Output
Density   6.1 Mg/m³
DOS at the Fermi energy   0.7 states/eV per cell
E_tot   -32.95 eV/cell
Volume   32.01 Å³/atom
Total magnetization   0.0 μB/f.u.

Cell: 8.333 8.333 8.333 Å, 138.02 138.02 60.86°
Fractional coordinates of all 8 atoms:
Ca: 0.000 0.000 0.000
Ca: 0.750 0.250 0.500
Bi: 0.300 0.625 0.175
Bi: 0.375 0.550 0.675
Bi: 0.450 0.125 0.825
Bi: 0.875 0.700 0.325
O: 0.250 0.750 0.500
O: 0.500 0.500 0.000

---

## CaBiO (PBE-GGA)

Data for a geometry-optimized CaBiO structure.

Output
Density   6.4 Mg/m³
DOS at the Fermi energy   2.2 states/eV per cell
E_tot   -31.13 eV/cell
Volume   22.88 Å³/atom
Total magnetization   0.0 μB/f.u.

Cell: 6.629 6.629 6.474 Å, 93.09 93.09 28.90°
Fractional coordinates of all 6 atoms:
Ca: 0.000 0.000 0.000
Ca: 0.000 0.000 0.500
Bi: 0.272 0.272 0.781
Bi: 0.728 0.728 0.219
O: 0.476 0.476 0.746
O: 0.524 0.524 0.254

---

## CaBi2O4 (PBE-GGA)

Data for a geometry-optimized CaBi2O4 structure.

Output
Density   6.9 Mg/m³
DOS at the Fermi energy   0.0 states/eV per cell
E_tot   -83.51 eV/cell
Volume   18.00 Å³/atom
Total magnetization   0.0 μB/f.u.

Cell: 7.262 7.262 11.451 Å, 117.19 117.19 28.23°
Fractional coordinates of all 14 atoms:
Ca: 0.250 0.250 0.250
Ca: 0.750 0.750 0.750
Bi: 0.117 0.117 0.898
Bi: 0.383 0.383 0.601
Bi: 0.617 0.617 0.399
Bi: 0.883 0.883 0.102
O: 0.088 0.088 0.264
O: 0.224 0.224 0.594
O: 0.276 0.276 0.906
O: 0.411 0.411 0.236
O: 0.589 0.589 0.764
O: 0.724 0.724 0.094
O: 0.776 0.776 0.406
O: 0.912 0.912 0.736